# 1
Density functional theory data (GGA-PBE) for an optimized crystal structure of PuZnCdBi.

Results
Magnetic moment = 5.9 μB per formula unit
Fermi-level density of states = 12.27 states/eV/f.u.
DFT formation energy = -31 meV per atom

```
data_PuZnCdBi
_space_group_name_H-M_alt 'P 1'
_space_group_IT_number 1
_cell_length_a 5.237
_cell_length_b 5.237
_cell_length_c 5.237
_cell_angle_alpha 60.00
_cell_angle_beta 60.00
_cell_angle_gamma 60.00
loop_
_space_group_symop_operation_xyz
'x,y,z'
loop_
_atom_site_label
_atom_site_type_symbol
_atom_site_fract_x
_atom_site_fract_y
_atom_site_fract_z
Cd1 Cd 0.750 0.750 0.750
Bi1 Bi 0.500 0.500 0.500
Pu1 Pu 0.250 0.250 0.250
Zn1 Zn 0.000 0.000 0.000
```

# 2
Density functional theory data (GGA-PBE) for an optimized crystal structure of RbCd3Bi.

Results
Magnetic moment = 0.0 μB per formula unit
Fermi-level density of states = 4.03 states/eV/f.u.
Distance to the lowest polymorph of the same formula = 0 meV/atom
DFT formation energy = 160 meV per atom

```
data_RbCd3Bi
_space_group_name_H-M_alt 'P 1'
_space_group_IT_number 1
_cell_length_a 6.026
_cell_length_b 6.026
_cell_length_c 6.026
_cell_angle_alpha 90.00
_cell_angle_beta 90.00
_cell_angle_gamma 90.00
loop_
_space_group_symop_operation_xyz
'x,y,z'
loop_
_atom_site_label
_atom_site_type_symbol
_atom_site_fract_x
_atom_site_fract_y
_atom_site_fract_z
Cd1 Cd 0.000 0.000 0.500
Cd2 Cd 0.000 0.500 0.000
Bi1 Bi 0.000 0.000 0.000
Rb1 Rb 0.500 0.500 0.500
Cd3 Cd 0.500 0.000 0.000
```

# 3
Density functional theory data (GGA-PBE) for an optimized crystal structure of Rb2Cd3Bi2.

Results
Magnetic moment = 0.0 μB per formula unit
Fermi-level density of states = 3.04 states/eV/f.u.
Distance to the lowest polymorph of the same formula = 36 meV/atom
DFT formation energy = -137 meV per atom

```
data_Rb2Cd3Bi2
_space_group_name_H-M_alt 'P 1'
_space_group_IT_number 1
_cell_length_a 4.591
_cell_length_b 7.536
_cell_length_c 8.524
_cell_angle_alpha 99.86
_cell_angle_beta 90.00
_cell_angle_gamma 107.73
loop_
_space_group_symop_operation_xyz
'x,y,z'
loop_
_atom_site_label
_atom_site_type_symbol
_atom_site_fract_x
_atom_site_fract_y
_atom_site_fract_z
Rb1 Rb 0.835 0.671 0.262
Rb2 Rb 0.165 0.329 0.738
Bi1 Bi 0.116 0.231 0.193
Cd1 Cd 0.500 0.000 0.000
Bi2 Bi 0.884 0.769 0.807
Cd2 Cd 0.561 0.121 0.387
Cd3 Cd 0.439 0.879 0.613
```

Question: Which value of magnetic moment does entry 2 give?
Answer: 0.0 μB per formula unit

Question: Which value of DFT formation energy does entry 3 give?
Answer: -137 meV per atom